1.
AcTbPrEr2: relaxed, PBE.

Calculated values
The space group is Cmcm (63). The crystal system is orthorhombic.

Unit cell a=6.5187 b=6.4555 c=9.3411 alpha=110.21 beta=90.00 gamma=90.00
Fractional positions:
1 Ac 0.2500 0.6581 0.3161
2 Ac 0.7500 0.3419 0.6839
3 Tb 0.7500 0.7291 0.4582
4 Tb 0.2500 0.2709 0.5418
5 Pr 0.2500 0.8474 0.6947
6 Pr 0.7500 0.1526 0.3053
7 Er 0.5000 0.2512 0.0000
8 Er 0.0000 0.7488 0.0000
9 Er 0.5000 0.7488 0.0000
10 Er 0.0000 0.2512 0.0000


2.
Cu2Ag: relaxed, PBE.

Calculated values
The space group is Pa-3 (205). The crystal system is cubic.

Unit cell a=5.9971 b=5.9971 c=5.9971 alpha=90.00 beta=90.00 gamma=90.00
Fractional positions:
1 Cu 0.1160 0.6160 0.8840
2 Cu 0.1160 0.8840 0.3840
3 Cu 0.3840 0.1160 0.8840
4 Cu 0.3840 0.3840 0.3840
5 Cu 0.6160 0.6160 0.6160
6 Cu 0.6160 0.8840 0.1160
7 Cu 0.8840 0.1160 0.6160
8 Cu 0.8840 0.3840 0.1160
9 Ag 0.0000 0.0000 0.0000
10 Ag 0.0000 0.5000 0.5000
11 Ag 0.5000 0.0000 0.5000
12 Ag 0.5000 0.5000 0.0000


3.
MgPAu2: relaxed, PBE.

Calculated values
The space group is R-3m (166). The crystal system is trigonal.

Unit cell a=8.2113 b=8.2113 c=8.2113 alpha=22.84 beta=22.84 gamma=22.84
Fractional positions:
1 Au 0.0058 0.0058 0.0058
2 Au 0.4942 0.4942 0.4942
3 Mg 0.2500 0.2500 0.2500
4 P 0.7500 0.7500 0.7500


What formation enthalpy at 0 K values result from the calculations? In sequence: 0.38 0.72 0.01 eV/atom.
What E values result from the calculations? In sequence: -20.8 -8.9 -13.5 eV/f.u..
What theoretical density values result from the calculations? In sequence: 7.8 7.2 10.2 Mg/m³.